*A*
BaIn2Re | PBE | relaxed

Cell and atoms, written as POSCAR:
```
BaIn2Re
1.0
-1.491 -4.015 -1.814
0.908 -2.145 4.002
-4.630 1.002 1.588
In Ba Re
2 1 1
Cartesian
-0.292 -3.080 1.094
0.000 0.000 0.000
-1.861 -0.571 2.795
-3.061 -1.506 -0.113
```

Symmetry ... Pmmm, No. 47


*B*
BaIn2Re | PBE | relaxed

Cell and atoms, written as POSCAR:
```
BaIn2Re
1.0
5.716 0.000 0.000
0.000 5.716 0.000
2.858 2.858 8.918
Ba Re In
2 2 4
Cartesian
2.858 5.716 4.459
2.858 2.858 0.000
0.000 0.000 0.000
5.716 2.858 4.459
7.144 2.689 6.688
5.884 4.287 2.229
4.287 3.026 6.688
5.547 1.429 2.229
```

Symmetry ... I-42d, No. 122


Which structure loses on stability? *A* does.


*A*
BaIn2Re | PBE | relaxed

Cell and atoms, written as POSCAR:
```
BaIn2Re
1.0
-1.718 0.048 -4.359
-0.083 -3.948 -2.523
-6.223 -2.593 -0.103
In Re Ba
2 1 1
Cartesian
-5.511 -2.429 -0.380
-4.725 -3.410 -3.215
-6.018 -4.869 -5.239
-2.006 -1.623 -1.746
```

Symmetry ... C2/m, No. 12


*B*
BaIn2Re | PBE | relaxed

Cell and atoms, written as POSCAR:
```
BaIn2Re
1.0
0.000 3.721 3.721
3.721 0.000 3.721
3.721 3.721 0.000
Re In Ba
1 2 1
Cartesian
3.721 3.721 3.721
1.861 1.861 1.861
5.582 5.582 5.582
0.000 0.000 0.000
```

Symmetry ... Fm-3m, No. 225


Which structure loses on stability? *B* does.


*A*
BaIn2Re | PBE | relaxed

Cell and atoms, written as POSCAR:
```
BaIn2Re
1.0
-3.232 3.818 4.537
-6.702 -0.510 0.656
6.330 -2.313 0.431
Ba In Re
1 2 1
Cartesian
-2.669 -0.585 1.842
-9.473 3.154 4.953
-5.427 1.807 2.837
-0.934 1.579 3.782
```

Symmetry ... Immm, No. 71


*B*
BaIn2Re | PBE | relaxed

Cell and atoms, written as POSCAR:
```
BaIn2Re
1.0
-4.343 -2.918 0.693
-2.883 -3.981 -1.924
1.399 -6.962 3.607
Re In Ba
1 2 1
Cartesian
-2.759 -8.131 1.761
1.254 -6.681 3.412
-4.897 -9.807 1.249
-0.938 -3.134 0.749
```

Symmetry ... Cm, No. 8


*C*
BaIn2Re | PBE | relaxed

Cell and atoms, written as POSCAR:
```
BaIn2Re
1.0
10.626 -0.008 -0.005
10.118 3.247 -0.005
10.118 1.580 2.837
Re In Ba
1 2 1
Cartesian
7.716 1.205 0.707
30.380 4.743 2.783
15.914 2.484 1.458
23.147 3.614 2.120
```

Symmetry ... R-3m, No. 166


*D*
BaIn2Re | PBE | relaxed

Cell and atoms, written as POSCAR:
```
BaIn2Re
1.0
5.455 -0.005 0.000
1.149 5.332 0.000
-3.302 -2.664 3.429
Re In Ba
1 2 1
Cartesian
0.575 2.666 1.714
3.302 2.664 0.000
0.000 0.000 0.000
2.727 -0.003 1.714
```

Symmetry ... I4/mmm, No. 139


Which structure loses on stability? *D* does.


*A*
BaIn2Re | PBE | relaxed

Cell and atoms, written as POSCAR:
```
BaIn2Re
1.0
-0.896 -7.818 -1.905
1.804 -7.306 2.987
-3.229 7.423 -0.155
In Re Ba
2 1 1
Cartesian
-1.913 -2.693 -0.851
0.006 -0.092 0.007
0.466 -7.760 0.555
-0.426 -4.719 1.758
```

Symmetry ... Imm2, No. 44


*B*
BaIn2Re | PBE | relaxed

Cell and atoms, written as POSCAR:
```
BaIn2Re
1.0
5.778 -0.018 0.000
1.890 5.460 0.000
-3.834 -2.721 3.359
Ba In Re
1 2 1
Cartesian
2.889 -0.009 1.679
0.000 0.000 0.000
0.945 2.730 1.679
3.834 2.721 0.000
```

Symmetry ... I-4m2, No. 119


Which structure loses on stability? *B* does.


*A*
BaIn2Re | PBE | relaxed

Cell and atoms, written as POSCAR:
```
BaIn2Re
1.0
-2.420 -1.858 2.075
2.536 -2.581 0.647
2.473 4.065 6.524
Re In Ba
1 2 1
Cartesian
1.029 1.692 2.716
0.809 -0.984 3.343
0.154 0.253 0.406
1.832 0.697 6.042
```

Symmetry ... Pmm2, No. 25


*B*
BaIn2Re | PBE | relaxed

Cell and atoms, written as POSCAR:
```
BaIn2Re
1.0
6.012 0.107 -0.016
-2.600 5.422 -0.016
0.256 0.415 3.004
Ba In Re
1 2 1
Cartesian
-1.172 2.918 1.494
1.706 2.764 -0.016
0.000 0.000 0.000
3.134 0.261 1.494
```

Symmetry ... C2/m, No. 12


Which structure loses on stability? *B* does.


*A*
BaIn2Re | PBE | relaxed

Cell and atoms, written as POSCAR:
```
BaIn2Re
1.0
-3.355 -0.193 3.988
1.165 -2.780 4.255
1.126 2.430 4.474
In Ba Re
2 1 1
Cartesian
0.000 0.000 0.000
-0.266 -0.136 3.179
-0.532 -0.271 6.359
-0.798 -0.407 9.538
```

Symmetry ... F-43m, No. 216


*B*
BaIn2Re | PBE | relaxed

Cell and atoms, written as POSCAR:
```
BaIn2Re
1.0
-2.827 0.941 -1.738
-0.399 -3.243 -1.106
-4.698 -1.713 6.716
In Ba Re
2 1 1
Cartesian
-2.036 -0.742 2.910
-0.313 -0.114 0.448
-5.137 -2.436 3.615
-2.788 -1.579 0.257
```

Symmetry ... P4/mmm, No. 123


Which structure loses on stability? *A* does.


*A*
BaIn3Rh3 | PBE | relaxed

Cell and atoms, written as POSCAR:
```
BaIn3Rh3
1.0
-2.066 0.970 6.729
-3.048 -5.325 3.584
5.242 -3.767 5.904
In Rh Ba
6 6 2
Cartesian
-1.379 -6.024 7.343
1.369 -5.274 6.279
-1.242 -2.848 9.938
-0.114 -5.669 10.086
0.241 -2.454 6.132
1.507 -2.098 8.874
-0.867 -0.897 8.085
1.147 -3.524 11.177
2.884 -3.046 6.734
0.994 -7.225 8.133
-2.757 -5.076 9.484
-1.020 -4.598 5.041
-3.276 -2.948 6.923
3.403 -5.175 9.295
```

Symmetry ... R-3, No. 148


*B*
BaIn3Rh3 | PBE | relaxed

Cell and atoms, written as POSCAR:
```
BaIn3Rh3
1.0
-4.071 -4.984 3.461
2.685 -5.218 -4.355
5.442 -1.154 4.739
In Ba Rh
6 2 6
Cartesian
2.703 -2.897 -0.993
-1.364 -3.797 0.642
5.424 -3.475 1.377
-0.022 -6.405 -1.536
-0.333 -4.315 4.965
1.703 -1.823 3.235
0.000 0.000 0.000
2.028 -5.678 1.923
-0.675 -2.781 2.915
-1.711 -6.347 0.419
4.735 -4.490 -0.897
2.046 -3.358 5.285
0.325 -3.855 -1.312
3.392 -1.882 1.281
```

Symmetry ... Pm-3n, No. 223


Which structure loses on stability? *B* does.


*A*
Ba3In3Rh2 | PBE | relaxed

Cell and atoms, written as POSCAR:
```
Ba3In3Rh2
1.0
-0.583 -0.379 -6.541
-1.118 -8.747 0.606
-16.640 2.222 1.354
In Ba Rh
12 12 8
Cartesian
-13.969 -6.101 -4.543
-9.178 -0.228 0.178
-16.252 0.716 0.753
-13.202 -1.593 -2.514
-9.913 -4.716 -1.498
-5.139 -5.311 -2.068
-4.372 -0.803 -0.038
-2.090 -7.620 -5.334
-16.987 -3.772 -0.923
-1.354 -3.132 -3.659
-9.163 -6.676 -4.759
-8.428 -2.188 -3.083
-5.575 -6.740 -5.089
-12.766 -0.164 0.508
-7.836 -7.648 -1.555
-10.506 0.744 -3.026
-3.099 -8.280 -1.941
-4.837 -2.250 -3.385
-7.093 -3.155 0.204
-15.985 -3.117 -4.399
-13.504 -4.654 -1.196
-11.248 -3.749 -4.785
-2.356 -3.788 -0.182
-15.242 1.376 -2.641
-2.731 -5.542 -3.585
-15.610 -1.363 -0.996
-7.733 -4.874 -3.178
-2.315 -1.261 -5.494
-11.025 -6.311 0.506
-16.026 -5.643 0.913
-10.608 -2.030 -1.403
-7.316 -0.593 -5.087
```

Symmetry ... Pnma, No. 62


*B*
Ba3In3Rh2 | PBE | relaxed

Cell and atoms, written as POSCAR:
```
Ba3In3Rh2
1.0
4.567 0.000 0.000
-2.283 6.248 0.000
0.000 0.000 17.272
Rh Ba In
4 6 6
Cartesian
2.283 3.315 10.565
0.000 2.933 1.930
0.000 2.933 6.706
2.283 3.315 15.342
0.000 0.709 10.441
2.283 1.845 4.318
0.000 4.403 12.954
0.000 0.709 15.467
2.283 5.538 6.831
2.283 5.538 1.805
0.000 4.126 16.637
0.000 4.378 4.318
2.283 2.121 8.001
2.283 2.121 0.635
2.283 1.870 12.954
0.000 4.126 9.271
```

Symmetry ... Cmcm, No. 63


Which structure loses on stability? *A* does.


*A*
Ba2In2Rh | PBE | relaxed

Cell and atoms, written as POSCAR:
```
Ba2In2Rh
1.0
-6.202 -3.384 -2.209
-0.360 -3.568 6.475
-3.093 4.251 2.170
Rh Ba In
2 4 4
Cartesian
0.000 0.000 0.000
-3.281 -3.476 2.133
-3.618 0.401 1.511
-2.883 -0.884 5.075
-6.037 -3.102 4.925
-6.772 -1.817 1.362
-5.516 -5.195 2.316
-1.046 -1.757 1.950
-4.074 -2.722 -0.472
-2.488 -4.230 4.738
```

Symmetry ... P4/mbm, No. 127


*B*
Ba2In2Rh | PBE | relaxed

Cell and atoms, written as POSCAR:
```
Ba2In2Rh
1.0
4.418 0.000 0.000
2.209 6.451 -0.478
2.209 -0.519 11.558
Ba Rh In
4 2 4
Cartesian
4.418 3.836 7.285
2.209 4.666 1.141
6.627 1.265 9.939
4.418 2.095 3.796
4.418 -0.071 7.792
4.418 6.003 3.289
2.209 0.776 6.353
2.209 0.914 1.280
6.627 5.156 4.728
6.627 5.017 9.801
```

Symmetry ... C2/m, No. 12


Which structure loses on stability? *A* does.


*A*
BaSr2InRh | PBE | relaxed

Cell and atoms, written as POSCAR:
```
BaSr2InRh
1.0
-0.669 2.276 -5.313
2.211 -4.841 -2.353
-5.417 -2.322 -0.313
Sr Ba Rh In
2 1 1 1
Cartesian
1.105 -2.420 -1.176
-0.334 1.138 -2.656
-2.708 -1.161 -0.156
0.000 0.000 0.000
-1.937 -2.443 -3.989
```

Symmetry ... P4/mmm, No. 123


*B*
BaSr2InRh | PBE | relaxed

Cell and atoms, written as POSCAR:
```
BaSr2InRh
1.0
-2.954 0.286 -4.980
-4.483 -2.691 2.504
-2.051 4.807 1.493
Rh Sr In Ba
1 2 1 1
Cartesian
0.000 0.000 0.000
-2.241 -1.346 1.252
-1.477 0.143 -2.490
-1.026 2.403 0.747
-4.744 1.201 -0.491
```

Symmetry ... P4/mmm, No. 123


Which structure loses on stability? *A* does.


*A*
BaIn3Ru | PBE | relaxed

Cell and atoms, written as POSCAR:
```
BaIn3Ru
1.0
5.223 0.000 0.000
0.000 5.223 0.000
0.000 0.000 5.223
Ru Ba In
1 1 3
Cartesian
0.000 0.000 0.000
2.612 2.612 2.612
0.000 0.000 2.612
0.000 2.612 0.000
2.612 0.000 0.000
```

Symmetry ... Pm-3m, No. 221


*B*
BaIn3Ru | PBE | relaxed

Cell and atoms, written as POSCAR:
```
BaIn3Ru
1.0
-5.179 -1.682 -3.026
2.633 -5.449 -1.477
-2.248 -2.507 5.241
In Ru Ba
3 1 1
Cartesian
-1.124 -1.254 2.621
1.317 -2.725 -0.739
-2.590 -0.841 -1.513
-2.397 -4.819 0.369
0.000 0.000 0.000
```

Symmetry ... Pm-3m, No. 221


Which structure loses on stability? *B* does.


*A*
BaZn2InRu | PBE | relaxed

Cell and atoms, written as POSCAR:
```
BaZn2InRu
1.0
-1.745 -2.910 -3.662
-3.361 -1.938 3.142
-3.348 3.669 -1.319
Ru Ba In Zn
1 1 1 2
Cartesian
0.000 0.000 0.000
-4.227 -0.589 -0.920
-1.674 1.834 -0.660
-1.680 -0.969 1.571
-0.873 -1.455 -1.831
```

Symmetry ... P4/mmm, No. 123


*B*
BaZn2InRu | PBE | relaxed

Cell and atoms, written as POSCAR:
```
BaZn2InRu
1.0
5.024 0.000 0.000
0.000 5.024 0.000
0.000 0.000 6.537
In Zn Ba Ru
1 2 1 1
Cartesian
0.000 0.000 0.000
0.000 2.512 0.000
2.512 0.000 0.000
0.000 0.000 3.269
2.512 2.512 3.269
```

Symmetry ... P4/mmm, No. 123


Which structure loses on stability? *B* does.